Cr2BO: relaxed, PBE with a Hubbard U.

Its relative energy among the computed polymorphs is 0.0 kJ per mole of atoms. The density of states at the Fermi level comes out at 0.31 states/eV per atom. The mass density comes out at 4.21 g cm⁻³. The value obtained for the total DFT energy (no corrections) is -0.4824 Ry per atom.

The structure belongs to space group I-42d (No. 122); the cell edges are 4.701, 4.701 and 9.332 Å and the angles 90.00°, 90.00° and 90.00°. The asymmetric unit holds Cr at (0.239, 0.250, 0.125), B at (0.000, 0.000, 0.500) and O at (0.000, 0.000, 0.000).